(1)
## V2InC (GGA-PBE)

Data for crystalline V2InC at its relaxed geometry.

Unit cell a=3.0294 b=3.0294 c=7.0608 alpha=77.61 beta=77.61 gamma=60.00
Last column: nearest neighbours and their distance in Å.
Atoms (fractional coordinates):
1 C 0.0000 0.0000 0.0000  6 V 2.04
2 V 0.2823 0.2823 0.1532  3 C 2.04
3 V 0.7177 0.7177 0.8468  3 C 2.04
4 In 0.5000 0.5000 0.5000  6 V 2.95, 6 In 3.03

## Properties
- Energy above the most stable polymorph in this dataset: 0.038 eV/atom
- Formation enthalpy at 0 K: -312 meV per atom
- Space group: R-3m (166)
- VASP energy: -7.862 eV per atom
- Total moment: 0.00 μB/f.u.
- Density of states at the Fermi level: 2.9 states/eV per cell



(2)
## SmHoGa2 (GGA-PBE)

Data for crystalline SmHoGa2 at its relaxed geometry.

Unit cell a=3.6886 b=3.6886 c=8.9929 alpha=78.17 beta=78.17 gamma=60.00
Last column: nearest neighbours and their distance in Å.
Atoms (fractional coordinates):
1 Ga 0.7482 0.7482 0.7555  3 Ho 3.02, 3 Sm 3.09
2 Ga 0.2518 0.2518 0.2445  3 Ho 3.02, 3 Sm 3.09
3 Ho 0.0000 0.0000 0.0000  6 Ga 3.02
4 Sm 0.5000 0.5000 0.5000  6 Ga 3.09

## Properties
- Energy above the most stable polymorph in this dataset: 0.209 eV/atom
- Formation enthalpy at 0 K: -407 meV per atom
- Space group: R-3m (166)
- VASP energy: -4.244 eV per atom
- Total moment: 0.00 μB/f.u.
- Density of states at the Fermi level: 2.1 states/eV per cell



(3)
## KPmZnS3 (GGA-PBE)

Data for crystalline KPmZnS3 at its relaxed geometry.

Unit cell a=4.0694 b=8.8829 c=9.5393 alpha=105.72 beta=90.00 gamma=90.00
Last column: nearest neighbours and their distance in Å.
Atoms (fractional coordinates):
1 K 0.2500 0.1956 0.2220  7 S 3.24-3.58
2 K 0.7500 0.8044 0.7780  7 S 3.24-3.58
3 Pm 0.2500 0.6658 0.1479  6 S 2.78-2.99
4 Pm 0.7500 0.3342 0.8521  6 S 2.78-2.99
5 Zn 0.2500 0.0830 0.6057  4 S 2.30-2.44
6 Zn 0.7500 0.9170 0.3943  4 S 2.30-2.44
7 S 0.7500 0.8877 0.1468  1 Zn 2.30
8 S 0.2500 0.1123 0.8532  1 Zn 2.30
9 S 0.2500 0.8100 0.4703  3 Zn 2.42-2.44
10 S 0.7500 0.1900 0.5297  3 Zn 2.42-2.44
11 S 0.7500 0.4511 0.1536  3 Pm 2.78-2.80
12 S 0.2500 0.5489 0.8464  3 Pm 2.78-2.80

## Properties
- Space group: P2_1/m (11)
- VASP energy: -4.715 eV per atom
- Raw formation energy: -1464 meV per atom
- Total moment: 0.00 μB/f.u.
- Density of states at the Fermi level: 0.0 states/eV per cell